First-principles (PBE) data for crystalline BaSb2HI at its relaxed geometry, as listed in the Alexandria database.

Cell and atoms, written as extended XYZ:
```
5
Lattice="-1.548 3.862 -5.902 -4.175 -5.372 -2.420 -5.289 2.692 3.149" Properties=species:S:1:pos:R:3 pbc="T T T"
I -2.645 1.346 1.575
Sb -2.088 -2.686 -1.210
Sb -0.774 1.931 -2.951
Ba 0.000 0.000 0.000
H -5.506 0.591 -2.586
```

Calculated values
* N(E_F): 0.274 states/eV/atom
* DFT total energy: -2.32 eV/atom
* excess energy over the best structure of this formula in the dataset: 5.07 eV per formula unit
* total magnetic moment: 6.03 Bohr magnetons per cell
* V: 350.3 Å³/f.u.

First-principles (PBE) data for crystalline Ba4SiHI2 at its relaxed geometry, as listed in the Alexandria database.

Cell and atoms, written as extended XYZ:
```
8
Lattice="-1.824 -2.159 3.893 -0.071 -6.893 -3.855 7.805 0.799 4.099" Properties=species:S:1:pos:R:3 pbc="T T T"
Ba 0.713 -2.586 1.872
Ba 5.196 -5.666 2.265
Ba 6.209 -1.126 2.285
Ba 1.525 -4.968 -2.040
Si -0.947 -4.526 0.019
H 0.000 0.000 0.000
I 2.990 -0.680 3.996
I 3.867 -3.047 0.122
```

Calculated values
* N(E_F): 0.525 states/eV/atom
* DFT total energy: -3.30 eV/atom
* total magnetic moment: 0.58 Bohr magnetons per cell
* V: 319.5 Å³/f.u.

First-principles (PBE) data for crystalline Ba6Si2HI3 at its relaxed geometry, as listed in the Alexandria database.

Cell and atoms, written as extended XYZ:
```
12
Lattice="8.316 -0.001 0.004 -4.156 7.203 0.004 -1.384 -2.396 8.478" Properties=species:S:1:pos:R:3 pbc="T T T"
Ba 4.192 2.353 6.747
Ba 2.743 4.749 1.732
Ba -1.416 2.453 1.739
Ba -0.057 4.807 6.747
Ba 0.033 0.057 6.753
Ba 2.833 -0.001 1.739
Si -0.002 4.803 0.004
Si 4.161 2.399 0.004
H 0.000 0.000 0.000
I -2.795 4.819 4.243
I 5.571 -0.013 4.243
I 1.388 2.403 4.243
```

Calculated values
* N(E_F): 0.102 states/eV/atom
* DFT total energy: -3.43 eV/atom
* total magnetic moment: 0.00 Bohr magnetons per cell
* V: 507.9 Å³/f.u.

First-principles (PBE) data for crystalline BaTcHI2 at its relaxed geometry, as listed in the Alexandria database.

Cell and atoms, written as extended XYZ:
```
5
Lattice="5.719 0.000 0.000 0.000 3.971 0.000 0.000 0.000 5.719" Properties=species:S:1:pos:R:3 pbc="T T T"
I 0.000 0.000 2.860
I 2.860 0.000 0.000
H 0.000 1.985 0.000
Ba 2.860 1.985 2.860
Tc 0.000 0.000 0.000
```

Calculated values
* N(E_F): 0.771 states/eV/atom
* DFT total energy: -3.93 eV/atom
* total magnetic moment: 1.94 Bohr magnetons per cell
* V: 129.9 Å³/f.u.

First-principles (PBE) data for crystalline Ba2TcHI at its relaxed geometry, as listed in the Alexandria database.

Cell and atoms, written as extended XYZ:
```
5
Lattice="6.600 0.000 0.000 0.000 4.068 0.000 0.000 0.000 6.600" Properties=species:S:1:pos:R:3 pbc="T T T"
I 0.000 0.000 0.000
H 0.000 2.034 0.000
Ba 0.000 0.000 3.300
Ba 3.300 0.000 0.000
Tc 3.300 2.034 3.300
```

Calculated values
* N(E_F): 1.042 states/eV/atom
* DFT total energy: -3.15 eV/atom
* total magnetic moment: 2.19 Bohr magnetons per cell
* V: 177.2 Å³/f.u.

First-principles (PBE) data for crystalline BaTeHI2 at its relaxed geometry, as listed in the Alexandria database.

Cell and atoms, written as extended XYZ:
```
5
Lattice="6.043 0.000 0.000 0.000 6.043 0.000 0.000 0.000 4.197" Properties=species:S:1:pos:R:3 pbc="T T T"
I 0.000 3.022 0.000
I 3.022 0.000 0.000
H 0.000 0.000 0.000
Te 0.000 0.000 2.099
Ba 3.022 3.022 2.099
```

Calculated values
* N(E_F): 0.810 states/eV/atom
* DFT total energy: -2.85 eV/atom
* excess energy over the best structure of this formula in the dataset: 0.00 eV per formula unit
* total magnetic moment: 0.00 Bohr magnetons per cell
* V: 153.3 Å³/f.u.

First-principles (PBE) data for crystalline BaTe2HI at its relaxed geometry, as listed in the Alexandria database.

Cell and atoms, written as extended XYZ:
```
5
Lattice="-3.264 -2.070 5.824 -3.792 -4.531 -3.735 4.715 -4.737 0.959" Properties=species:S:1:pos:R:3 pbc="T T T"
I 2.357 -2.368 0.479
H -1.170 -5.669 1.524
Te -1.896 -2.265 -1.868
Te -1.632 -1.035 2.912
Ba 0.000 0.000 0.000
```

Calculated values
* N(E_F): 0.608 states/eV/atom
* DFT total energy: -2.37 eV/atom
* excess energy over the best structure of this formula in the dataset: 4.00 eV per formula unit
* total magnetic moment: 4.00 Bohr magnetons per cell
* V: 329.9 Å³/f.u.

First-principles (PBE) data for crystalline BaTeHI2 at its relaxed geometry, as listed in the Alexandria database.

Cell and atoms, written as extended XYZ:
```
5
Lattice="-3.969 2.652 -4.805 4.202 -2.346 -4.766 -3.737 -6.112 -0.286" Properties=species:S:1:pos:R:3 pbc="T T T"
I 2.101 -1.173 -2.383
I -1.985 1.326 -2.403
H -1.752 -2.904 -4.928
Te -1.869 -3.056 -0.143
Ba 0.000 0.000 0.000
```

Calculated values
* N(E_F): 0.801 states/eV/atom
* DFT total energy: -2.39 eV/atom
* excess energy over the best structure of this formula in the dataset: 2.29 eV per formula unit
* total magnetic moment: 2.98 Bohr magnetons per cell
* V: 328.9 Å³/f.u.

First-principles (PBE) data for crystalline BaTe2HI at its relaxed geometry, as listed in the Alexandria database.

Cell and atoms, written as extended XYZ:
```
5
Lattice="-2.121 -0.593 -4.210 -1.683 -4.204 1.439 -5.463 2.985 2.332" Properties=species:S:1:pos:R:3 pbc="T T T"
I -2.732 1.493 1.166
H 0.000 0.000 0.000
Te -0.841 -2.102 0.720
Te -1.060 -0.296 -2.105
Ba -4.633 -0.905 -0.220
```

Calculated values
* N(E_F): 0.227 states/eV/atom
* DFT total energy: -3.17 eV/atom
* excess energy over the best structure of this formula in the dataset: 0.00 eV per formula unit
* total magnetic moment: 0.00 Bohr magnetons per cell
* V: 150.1 Å³/f.u.

First-principles (PBE) data for crystalline Ba4TlHI2 at its relaxed geometry, as listed in the Alexandria database.

Cell and atoms, written as extended XYZ:
```
8
Lattice="-3.349 1.253 -3.130 5.173 -1.383 -6.089 -4.510 -7.791 1.708" Properties=species:S:1:pos:R:3 pbc="T T T"
Ba -1.346 -1.472 -2.757
Ba -1.341 -6.450 -4.755
Ba -2.160 -6.548 -0.310
Ba 2.822 -2.626 -4.071
Tl 0.000 0.000 0.000
H 0.912 -0.065 -4.610
I -3.930 -3.269 -0.711
I 0.331 -4.587 -2.191
```

Calculated values
* N(E_F): 0.565 states/eV/atom
* DFT total energy: -2.86 eV/atom
* total magnetic moment: 0.00 Bohr magnetons per cell
* V: 335.8 Å³/f.u.

First-principles (PBE) data for crystalline BaTlH2I at its relaxed geometry, as listed in the Alexandria database.

Cell and atoms, written as extended XYZ:
```
5
Lattice="4.906 0.000 0.000 0.000 6.713 0.000 0.000 0.000 4.906" Properties=species:S:1:pos:R:3 pbc="T T T"
I 0.000 0.000 0.000
H 0.000 0.000 2.453
H 2.453 0.000 0.000
Tl 2.453 3.356 2.453
Ba 0.000 3.356 0.000
```

Calculated values
* N(E_F): 1.169 states/eV/atom
* DFT total energy: -2.04 eV/atom
* total magnetic moment: 0.01 Bohr magnetons per cell
* V: 161.6 Å³/f.u.

First-principles (PBE) data for crystalline Ba12In5H2 at its relaxed geometry, as listed in the Alexandria database.

Cell and atoms, written as extended XYZ:
```
19
Lattice="8.776 0.000 0.000 -4.388 9.769 0.367 0.000 -3.029 10.478" Properties=species:S:1:pos:R:3 pbc="T T T"
Ba 4.388 8.684 2.118
Ba -2.228 3.607 9.578
Ba 2.228 3.607 9.578
Ba -2.255 5.584 4.751
Ba 2.255 5.584 4.751
Ba 0.000 7.159 8.820
Ba 4.388 -0.419 2.025
Ba 6.643 1.156 6.094
Ba 2.133 1.156 6.094
Ba 6.616 3.133 1.267
Ba 2.160 3.133 1.267
Ba 0.000 -1.944 8.726
In 0.000 4.044 6.959
In 0.000 5.979 1.847
In 0.000 -1.515 5.239
In 4.388 0.761 8.997
In 4.388 2.696 3.886
H 6.554 0.000 0.000
H 2.222 0.000 0.000
```

Calculated values
* N(E_F): 1.231 states/eV/atom
* DFT total energy: -2.46 eV/atom
* total magnetic moment: 0.16 Bohr magnetons per cell
* V: 908.0 Å³/f.u.